1.
The following is a DFT calculation (PBEsol) of a relaxed KY3P crystal.

Geometry as CIF:
```
data_KY3P
_symmetry_space_group_name_H-M 'P m -3 m'
_symmetry_Int_Tables_number 221
_symmetry_space_group_name_Hall '-P 4 2 3'
_cell_length_a 5.4461
_cell_length_b 5.4461
_cell_length_c 5.4461
_cell_angle_alpha 90.00
_cell_angle_beta 90.00
_cell_angle_gamma 90.00
loop_
_atom_site_label
_atom_site_type_symbol
_atom_site_fract_x
_atom_site_fract_y
_atom_site_fract_z
_atom_site_occupancy
K1 K 0.0000 0.0000 0.0000 1
Y1 Y 0.0000 0.5000 0.5000 1
P1 P 0.5000 0.5000 0.5000 1
```

## Properties
DOS(E_F), states/eV/atom: 1.913
Calculated formation energy, meV per atom: -205


2.
The following is a DFT calculation (PBEsol) of a relaxed KY2P crystal.

Geometry as CIF:
```
data_KY2P
_symmetry_space_group_name_H-M 'C 1 2/m 1'
_symmetry_Int_Tables_number 12
_symmetry_space_group_name_Hall '-C 2y'
_cell_length_a 6.7500
_cell_length_b 10.2502
_cell_length_c 3.4691
_cell_angle_alpha 90.00
_cell_angle_beta 120.01
_cell_angle_gamma 90.00
loop_
_atom_site_label
_atom_site_type_symbol
_atom_site_fract_x
_atom_site_fract_y
_atom_site_fract_z
_atom_site_occupancy
K1 K 0.0000 0.0000 0.0000 1
Y1 Y 0.2500 0.2500 0.5000 1
P1 P 0.0000 0.5000 0.0000 1
```

## Properties
DOS(E_F), states/eV/atom: 0.906
Calculated formation energy, meV per atom: 147


3.
The following is a DFT calculation (PBEsol) of a relaxed KZnP crystal.

Geometry as CIF:
```
data_KZnP
_symmetry_space_group_name_H-M 'I 4 m m'
_symmetry_Int_Tables_number 107
_symmetry_space_group_name_Hall 'I 4 -2'
_cell_length_a 3.5265
_cell_length_b 3.5265
_cell_length_c 11.4646
_cell_angle_alpha 90.00
_cell_angle_beta 90.00
_cell_angle_gamma 90.00
loop_
_atom_site_label
_atom_site_type_symbol
_atom_site_fract_x
_atom_site_fract_y
_atom_site_fract_z
_atom_site_occupancy
K1 K 0.0000 0.0000 0.0000 1
Zn1 Zn 0.0000 0.0000 0.2570 1
P1 P 0.0000 0.0000 0.7288 1
```

## Properties
DOS(E_F), states/eV/atom: 0.303
Calculated formation energy, meV per atom: -8


4.
The following is a DFT calculation (PBEsol) of a relaxed KZnP crystal.

Geometry as CIF:
```
data_KZnP
_symmetry_space_group_name_H-M 'P 63/m m c'
_symmetry_Int_Tables_number 194
_symmetry_space_group_name_Hall '-P 6c 2c'
_cell_length_a 4.0402
_cell_length_b 4.0402
_cell_length_c 10.0460
_cell_angle_alpha 90.00
_cell_angle_beta 90.00
_cell_angle_gamma 120.00
loop_
_atom_site_label
_atom_site_type_symbol
_atom_site_fract_x
_atom_site_fract_y
_atom_site_fract_z
_atom_site_occupancy
K1 K 0.0000 0.0000 0.0000 1
Zn1 Zn 0.3333 0.6667 0.2500 1
P1 P 0.3333 0.6667 0.7500 1
```

## Properties
Calculated formation energy, meV per atom: -438